PBE LiIn2Ga2Ag5, relaxed; raw total energy = -27.84 eV per formula unit; total magnetic moment = 0.000 μB/f.u.
1.0
-1.623 3.782 -0.315
-3.411 -2.204 -8.890
-8.314 -3.235 3.992
Ag Ga In Li
10 4 4 2
Direct
0.500 0.796 0.975 Ag
0.500 0.475 0.296 Ag
0.500 0.296 0.525 Ag
0.500 0.975 0.204 Ag
0.500 0.704 0.475 Ag
0.500 0.025 0.796 Ag
0.500 0.500 0.000 Ag
0.500 0.204 0.025 Ag
0.500 0.525 0.704 Ag
0.500 0.000 0.500 Ag
0.000 0.366 0.134 Ga
0.000 0.866 0.366 Ga
0.000 0.634 0.866 Ga
0.000 0.134 0.634 Ga
0.000 0.830 0.670 In
0.000 0.670 0.170 In
0.000 0.170 0.330 In
0.000 0.330 0.830 In
0.000 0.500 0.500 Li
0.000 0.000 0.000 Li



PBE Rb12Hg5Se3, relaxed; raw total energy = -31.11 eV per formula unit; total magnetic moment = 0.001 μB/f.u.; ΔE_f (raw) = -7.533 eV/f.u.
1.0
17.868 0.000 0.000
-5.956 16.846 0.000
-5.956 -8.423 14.589
Rb Hg Se
48 20 12
Direct
0.436 0.368 0.608 Rb
0.172 0.108 0.740 Rb
0.132 0.392 0.064 Rb
0.328 0.760 0.392 Rb
0.632 0.068 0.240 Rb
0.632 0.564 0.892 Rb
0.672 0.240 0.608 Rb
0.108 0.936 0.368 Rb
0.240 0.568 0.632 Rb
0.564 0.632 0.392 Rb
0.564 0.932 0.672 Rb
0.608 0.740 0.672 Rb
0.868 0.260 0.432 Rb
0.932 0.564 0.172 Rb
0.068 0.436 0.828 Rb
0.172 0.064 0.932 Rb
0.936 0.828 0.568 Rb
0.760 0.328 0.892 Rb
0.068 0.632 0.740 Rb
0.392 0.260 0.328 Rb
0.064 0.172 0.432 Rb
0.740 0.608 0.172 Rb
0.868 0.608 0.936 Rb
0.568 0.240 0.132 Rb
0.328 0.568 0.436 Rb
0.368 0.932 0.760 Rb
0.064 0.892 0.132 Rb
0.672 0.432 0.564 Rb
0.936 0.108 0.868 Rb
0.828 0.892 0.260 Rb
0.432 0.672 0.064 Rb
0.260 0.868 0.932 Rb
0.108 0.172 0.240 Rb
0.432 0.760 0.868 Rb
0.760 0.432 0.368 Rb
0.892 0.064 0.632 Rb
0.260 0.392 0.828 Rb
0.568 0.328 0.936 Rb
0.132 0.740 0.568 Rb
0.436 0.068 0.328 Rb
0.240 0.672 0.108 Rb
0.392 0.132 0.564 Rb
0.608 0.868 0.436 Rb
0.368 0.436 0.108 Rb
0.892 0.828 0.760 Rb
0.932 0.368 0.260 Rb
0.828 0.936 0.068 Rb
0.740 0.132 0.068 Rb
0.625 0.875 0.250 Hg
0.875 0.625 0.750 Hg
0.000 0.000 0.000 Hg
0.000 0.000 0.500 Hg
0.625 0.750 0.875 Hg
0.250 0.375 0.625 Hg
0.375 0.250 0.125 Hg
0.750 0.125 0.875 Hg
0.500 0.000 0.500 Hg
0.500 0.500 0.000 Hg
0.375 0.125 0.750 Hg
0.875 0.250 0.625 Hg
0.500 0.500 0.500 Hg
0.000 0.500 0.500 Hg
0.750 0.625 0.375 Hg
0.250 0.875 0.125 Hg
0.125 0.750 0.375 Hg
0.500 0.000 0.000 Hg
0.125 0.375 0.250 Hg
0.000 0.500 0.000 Hg
0.625 0.250 0.375 Se
0.375 0.625 0.250 Se
0.750 0.875 0.625 Se
0.125 0.250 0.875 Se
0.625 0.375 0.750 Se
0.750 0.375 0.125 Se
0.250 0.125 0.375 Se
0.125 0.875 0.750 Se
0.375 0.750 0.625 Se
0.875 0.750 0.125 Se
0.250 0.625 0.875 Se
0.875 0.125 0.250 Se



PBE Ti5ZnPd6, relaxed; raw total energy = -78.30 eV per formula unit; total magnetic moment = 1.942 μB/f.u.
1.0
3.913 1.027 0.000
2.001 8.328 0.000
1.000 4.164 6.061
Zn Ti Pd
1 5 6
Direct
0.000 0.000 0.000 Zn
0.500 0.175 0.650 Ti
0.500 0.825 0.350 Ti
0.500 0.500 0.000 Ti
0.000 0.656 0.688 Ti
0.000 0.344 0.312 Ti
0.243 0.924 0.664 Pd
0.735 0.766 0.000 Pd
0.757 0.411 0.664 Pd
0.265 0.234 0.000 Pd
0.243 0.589 0.336 Pd
0.757 0.076 0.336 Pd



PBE NaZnSb, relaxed; raw total energy = -6.85 eV per formula unit; total magnetic moment = 0.000 μB/f.u.; ΔE_f (raw) = -0.139 eV/f.u.
1.0
-3.446 -0.695 1.768
1.771 -2.497 2.472
1.760 5.584 1.247
Zn Sb Na
1 1 1
Direct
0.675 0.675 0.349 Zn
0.232 0.232 0.463 Sb
0.944 0.944 0.888 Na



PBE Na3Ag2Sn7, relaxed; raw total energy = -38.04 eV per formula unit; total magnetic moment = 0.000 μB/f.u.
1.0
-0.490 1.952 -4.313
-4.708 -0.643 0.243
-3.840 12.283 5.994
Ag Na Sn
2 3 7
Direct
0.000 0.563 0.880 Ag
0.000 0.437 0.120 Ag
0.500 0.205 0.588 Na
0.500 0.500 0.000 Na
0.500 0.795 0.412 Na
0.000 0.292 0.422 Sn
0.000 0.708 0.578 Sn
0.000 0.000 0.000 Sn
0.000 0.126 0.760 Sn
0.500 0.628 0.744 Sn
0.500 0.372 0.256 Sn
0.000 0.874 0.240 Sn



PBE Ba3In9Ga2, relaxed; raw total energy = -41.21 eV per formula unit; total magnetic moment = 0.000 μB/f.u.
1.0
-1.034 -1.028 -4.836
7.821 -4.259 -3.404
-1.883 -9.342 -0.250
In Ga Ba
9 2 3
Direct
0.344 0.287 0.024 In
0.857 0.867 0.419 In
0.143 0.581 0.133 In
0.143 0.133 0.581 In
0.344 0.024 0.287 In
0.000 0.500 0.500 In
0.656 0.713 0.976 In
0.656 0.976 0.713 In
0.857 0.419 0.867 In
0.500 0.297 0.703 Ga
0.500 0.703 0.297 Ga
0.684 0.316 0.316 Ba
0.000 0.000 0.000 Ba
0.316 0.684 0.684 Ba



Copy entry 3 word for word.
PBE Ti5ZnPd6, relaxed; raw total energy = -78.30 eV per formula unit; total magnetic moment = 1.942 μB/f.u.
1.0
3.913 1.027 0.000
2.001 8.328 0.000
1.000 4.164 6.061
Zn Ti Pd
1 5 6
Direct
0.000 0.000 0.000 Zn
0.500 0.175 0.650 Ti
0.500 0.825 0.350 Ti
0.500 0.500 0.000 Ti
0.000 0.656 0.688 Ti
0.000 0.344 0.312 Ti
0.243 0.924 0.664 Pd
0.735 0.766 0.000 Pd
0.757 0.411 0.664 Pd
0.265 0.234 0.000 Pd
0.243 0.589 0.336 Pd
0.757 0.076 0.336 Pd



Question: Which of these has the lowest raw total energy?
Answer: Ti5ZnPd6